Entry 1:
A plane-wave DFT calculation with PBE was carried out for a relaxed ZnMo2Os crystal.

Summary:
DFT formation energy ... 0.126 eV/atom
Space-group type ... Immm (71)

Cell: 5.1883 5.1883 5.1883 Å, 144.67 131.59 61.34°
With the nearest neighbours (Å) after each atom.
Positions (direct):
Zn: 0.2500 0.7500 0.5000  4 Os 2.65, 4 Mo 2.77
Mo: 0.5057 0.5057 0.0000  4 Mo 2.65, 2 Os 2.69, 2 Zn 2.77
Os: 0.7500 0.2500 0.5000  4 Zn 2.65, 4 Mo 2.69
Mo: 0.9943 0.9943 0.0000  4 Mo 2.65, 2 Os 2.69, 2 Zn 2.77

---

Entry 2:
A plane-wave DFT calculation with PBE was carried out for a relaxed La3YTl crystal.

Summary:
DFT formation energy ... 0.553 eV/atom
Space-group type ... Pm-3m (221)
ΔE to the lowest computed polymorph ... 0.649 eV per atom

Cell: 5.8328 5.8328 5.8328 Å, 90.00 90.00 90.00°
With the nearest neighbours (Å) after each atom.
Positions (direct):
Tl: 0.5000 0.5000 0.5000  12 La 4.12
Y: 0.0000 0.0000 0.0000  6 La 2.92
La: 0.0000 0.5000 0.0000  2 Y 2.92
La: 0.0000 0.0000 0.5000  2 Y 2.92
La: 0.5000 0.0000 0.0000  2 Y 2.92

---

Entry 3:
A plane-wave DFT calculation with PBE was carried out for a relaxed ScAu2 crystal.

Summary:
DFT formation energy ... -0.470 eV/atom
Space-group type ... Fm-3m (225)

Cell: 4.5688 4.5688 4.5688 Å, 60.00 60.00 60.00°
With the nearest neighbours (Å) after each atom.
Positions (direct):
Sc: 0.0000 0.0000 0.0000  8 Au 2.80
Au: 0.2500 0.2500 0.2500  4 Sc 2.80
Au: 0.7500 0.7500 0.7500  4 Sc 2.80